Record 1
NbSi2W2 after structural relaxation. Source: Alexandria via LeMat-Bulk, functional PBE.

N(E_F), states/eV/atom: 0.72
Magnetization, μB per cell: 0.000
E_tot, eV per cell: -95.44

Cell: 6.785 6.785 3.280 Å, 90.00 90.00 90.00°
Space group P4/mbm (No. 127)
Asymmetric unit:
Nb  0.000  0.000  0.000 (multiplicity 2)
Si  0.135  0.365  0.000 (multiplicity 4)
W  0.157  0.657  0.500 (multiplicity 4)


Record 2
ScRe4 after structural relaxation. Source: Alexandria via LeMat-Bulk, functional PBE.

Formation energy from the elements, kcal/mol of atoms: 3.94
Excess energy over the best structure of this formula in the dataset, eV per atom: 0.023
N(E_F), states/eV/atom: 1.33
Magnetization, μB per cell: 0.000

Cell: 6.089 6.089 4.330 Å, 90.00 90.00 90.00°
Space group I4/m (No. 87)
Asymmetric unit:
Sc  0.000  0.000  0.000 (multiplicity 2)
Re  0.070  0.296  0.500 (multiplicity 8)


Record 3
Tm12Cd6Cu after structural relaxation. Source: Alexandria via LeMat-Bulk, functional PBE.

Formation energy from the elements, kcal/mol of atoms: -1.79
N(E_F), states/eV/atom: 1.19
Magnetization, μB per cell: 0.010

Cell: 11.0867 11.0867 14.0937 Å, 90.00 90.00 120.00°
Space group R-3 (No. 148, hexagonal axes)
Asymmetric unit:
Tm  0.0259  0.8416  0.3265 (multiplicity 18)
Tm  0.0599  0.2084  0.9064 (multiplicity 18)
Cd  0.0325  0.5966  0.2047 (multiplicity 18)
Cu  0.0000  0.0000  0.5000 (multiplicity 3)


Record 4
Ce2Pr2Te2Br5 after structural relaxation. Source: Alexandria via LeMat-Bulk, functional PBE.

N(E_F), states/eV/atom: 1.92
Magnetization, μB per cell: 6.114
E_tot, eV per cell: -99.77

Cell: 5.796 5.796 27.017 Å, 90.00 90.00 90.00°
Space group I4/mmm (No. 139)
Asymmetric unit:
Ce  0.000  0.000  0.167 (multiplicity 4)
Pr  0.000  0.000  0.390 (multiplicity 4)
Te  0.000  0.000  0.280 (multiplicity 4)
Br  0.000  0.000  0.500 (multiplicity 2)
Br  0.000  0.500  0.111 (multiplicity 8)